# 1
Below is crystalline InFe3Sb at its relaxed geometry, with properties calculated at the GGA-PBE level. Values from VASP.

Results
- Volume: 22.3 A^3/atom
- E_form (uncorrected): 1048 meV per atom
- Excess energy over the best structure of this formula in the dataset: 0.0 kJ per mole of atoms
- D(E_F): 8.87 states/eV per cell

Geometry as Quantum ESPRESSO input:
```
&SYSTEM
  ibrav = 0, nat = 5, ntyp = 3
/
ATOMIC_SPECIES
Sb 121.76 Sb.upf
Fe 55.84 Fe.upf
In 114.82 In.upf
CELL_PARAMETERS angstrom
-4.3919 -0.0202 -1.9747
-1.7538 -2.1738 3.9228
-0.9079 4.2969 1.9752
ATOMIC_POSITIONS angstrom
Sb 0.0000 0.0000 0.0000
Fe -0.8769 -1.0869 1.9614
Fe -0.4540 2.1485 0.9876
Fe -2.1960 -0.0101 -0.9874
In -3.5268 1.0515 1.9616
```

***

# 2
Below is crystalline InFe2Sb at its relaxed geometry, with properties calculated at the GGA-PBE level. Values from VASP.

Results
- Volume: 16.3 A^3/atom
- E_form (uncorrected): 357 meV per atom
- Excess energy over the best structure of this formula in the dataset: 19.3 kJ per mole of atoms
- D(E_F): 5.66 states/eV per cell

Geometry as Quantum ESPRESSO input:
```
&SYSTEM
  ibrav = 0, nat = 4, ntyp = 3
/
ATOMIC_SPECIES
Fe 55.84 Fe.upf
In 114.82 In.upf
Sb 121.76 Sb.upf
CELL_PARAMETERS angstrom
3.1990 0.0000 0.0000
0.0000 3.2041 0.0143
0.0000 3.2005 6.3685
ATOMIC_POSITIONS angstrom
Fe 0.0000 3.1898 6.2183
Fe 0.0000 3.2130 3.3416
In 1.5995 1.6011 1.5957
Sb 1.5995 4.8034 4.7871
```

***

Which formula does entry 2 have? InFe2Sb

***

Which formula does entry 1 have? InFe3Sb